Computed, not measured: crystalline Ag6SbAu at its relaxed geometry at the PBE level of DFT.

Values from the calculation:
Space group ... P-1 (2)
Energy ... -3.00 eV/atom
Formation energy from raw total energies ... 0.067 eV per atom
Magnetization ... 0.0000 μB per atom
DOS(E_F) ... 1.84 states/eV/f.u.

POSCAR file:
```
Ag6SbAu
1.0
7.116 0.438 -0.062
3.938 6.889 -0.121
3.612 2.466 3.239
Ag Sb Au
6 1 1
direct
0.972 0.467 0.809
0.749 0.935 0.767
0.475 0.255 0.308
0.251 0.065 0.233
0.028 0.533 0.191
0.525 0.745 0.692
0.000 0.000 0.000
0.500 0.500 0.500
```

Computed, not measured: crystalline Ag3SbAu3 at its relaxed geometry at the PBE level of DFT.

Values from the calculation:
Space group ... C2/m (12)
Energy ... -3.13 eV/atom
Formation energy from raw total energies ... 0.081 eV per atom
Magnetization ... 0.0000 μB per atom
DOS(E_F) ... 2.44 states/eV/f.u.

POSCAR file:
```
Ag3SbAu3
1.0
6.391 0.915 0.237
-2.028 6.130 0.237
-0.364 -0.588 7.031
Ag Sb Au
6 2 6
direct
0.672 0.672 0.459
0.143 0.857 0.500
0.857 0.143 0.500
0.247 0.753 0.000
0.753 0.247 0.000
0.328 0.328 0.541
0.651 0.651 0.872
0.349 0.349 0.128
0.890 0.890 0.156
0.992 0.506 0.715
0.506 0.992 0.715
0.008 0.494 0.285
0.494 0.008 0.285
0.110 0.110 0.844
```

Computed, not measured: crystalline Ag2Sb2Au at its relaxed geometry at the PBE level of DFT.

Values from the calculation:
Space group ... I4/mmm (139)
Energy ... -3.20 eV/atom
Formation energy from raw total energies ... 0.241 eV per atom
Magnetization ... 0.0000 μB per atom
DOS(E_F) ... 2.70 states/eV/f.u.

POSCAR file:
```
Ag2Sb2Au
1.0
-3.234 2.041 -0.300
-1.839 -2.600 2.139
-0.624 3.704 7.406
Sb Au Ag
2 1 2
direct
0.400 0.400 0.199
0.600 0.600 0.801
0.000 0.000 0.000
0.750 0.250 0.500
0.250 0.750 0.500
```

Number 1: E above lowest polymorph 0.391 eV/f.u.. Number 2: E above lowest polymorph 0.376 eV/f.u.. Number 3: E above lowest polymorph 0.451 eV/f.u..